Record 1
GaCuNiOs | GGA-PBE | relaxed

The structure belongs to space group F-43m (No. 216); the cell edges are 5.9164, 5.9164 and 5.9164 Å and the angles 90.00°, 90.00° and 90.00°. The asymmetric unit holds Ga at (0.0000, 0.0000, 0.0000), Cu at (0.2500, 0.2500, 0.2500), Ni at (0.2500, 0.2500, 0.7500) and Os at (0.0000, 0.0000, 0.5000).

Its final energy is -5.65 eV per atom. The energy relative to the lowest polymorph listed for this composition is 98 meV/atom.

***

Record 2
GaCuNiOs | GGA-PBE | relaxed

The structure belongs to space group F-43m (No. 216); the cell edges are 5.9198, 5.9198 and 5.9198 Å and the angles 90.00°, 90.00° and 90.00°. The asymmetric unit holds Ga at (0.0000, 0.0000, 0.0000), Cu at (0.2500, 0.2500, 0.2500), Ni at (0.0000, 0.0000, 0.5000) and Os at (0.2500, 0.2500, 0.7500).

Its final energy is -5.75 eV per atom. The energy relative to the lowest polymorph listed for this composition is 0 meV/atom.

***

Please write out number 1 again, unchanged.
GaCuNiOs | GGA-PBE | relaxed

The structure belongs to space group F-43m (No. 216); the cell edges are 5.9164, 5.9164 and 5.9164 Å and the angles 90.00°, 90.00° and 90.00°. The asymmetric unit holds Ga at (0.0000, 0.0000, 0.0000), Cu at (0.2500, 0.2500, 0.2500), Ni at (0.2500, 0.2500, 0.7500) and Os at (0.0000, 0.0000, 0.5000).

Its final energy is -5.65 eV per atom. The energy relative to the lowest polymorph listed for this composition is 98 meV/atom.

***

Please write out number 1 again, unchanged.
GaCuNiOs | GGA-PBE | relaxed

The structure belongs to space group F-43m (No. 216); the cell edges are 5.9164, 5.9164 and 5.9164 Å and the angles 90.00°, 90.00° and 90.00°. The asymmetric unit holds Ga at (0.0000, 0.0000, 0.0000), Cu at (0.2500, 0.2500, 0.2500), Ni at (0.2500, 0.2500, 0.7500) and Os at (0.0000, 0.0000, 0.5000).

Its final energy is -5.65 eV per atom. The energy relative to the lowest polymorph listed for this composition is 98 meV/atom.

***

Number 2 is which compound? GaCuNiOs

***

What did the second record say?
GaCuNiOs | GGA-PBE | relaxed

The structure belongs to space group F-43m (No. 216); the cell edges are 5.9198, 5.9198 and 5.9198 Å and the angles 90.00°, 90.00° and 90.00°. The asymmetric unit holds Ga at (0.0000, 0.0000, 0.0000), Cu at (0.2500, 0.2500, 0.2500), Ni at (0.0000, 0.0000, 0.5000) and Os at (0.2500, 0.2500, 0.7500).

Its final energy is -5.75 eV per atom. The energy relative to the lowest polymorph listed for this composition is 0 meV/atom.